Below is a relaxed SrBeCu2 crystal, with properties calculated at the GGA-PBEsol level.

Calculated values
* VASP energy: -13.4 eV for the cell shown
* spin magnetization: 0.0 Bohr magnetons per cell
* energy of formation from the pure elements: 0.28 eV/atom
* calculated density: 5.66 g/cm3

CIF file:
```
data_SrBeCu2
_cell_length_a 3.159
_cell_length_b 3.159
_cell_length_c 6.578
_cell_angle_alpha 90.00
_cell_angle_beta 90.00
_cell_angle_gamma 90.00
_symmetry_space_group_name_H-M 'P 4 m m'
_symmetry_Int_Tables_number 99
_symmetry_space_group_name_Hall 'P 4 -2'
loop_
_atom_site_label
_atom_site_type_symbol
_atom_site_fract_x
_atom_site_fract_y
_atom_site_fract_z
_atom_site_occupancy
Sr1 Sr 0.000 0.000 0.000 1
Be1 Be 0.500 0.500 0.345 1
Cu1 Cu 0.000 0.000 0.483 1
Cu2 Cu 0.500 0.500 0.673 1
```